a | VASP calculation (PBE) on a relaxed structure of Sb2TeRhCl.

abc: 5.1974 5.1974 5.2455
angles: 90.00 90.00 90.00
Last column: nearest neighbours and their distance in Å.
Atoms (fractional coordinates):
Sb  0.0000  0.5000  0.0000  2 Rh 2.60
Sb  0.5000  0.0000  0.0000  2 Rh 2.60
Te  0.0000  0.0000  0.5000  2 Rh 2.62
Rh  0.0000  0.0000  0.0000  4 Sb 2.60, 2 Te 2.62
Cl  0.5000  0.5000  0.5000  4 Te 3.68, 8 Sb 3.69

Computed properties:
Total magnetization: 0.00 μB per formula unit
Volume: 28.3 A^3/atom

b | VASP calculation (PBE) on a relaxed structure of Sb2TeRhCl.

abc: 5.1307 5.1307 5.3727
angles: 90.00 90.00 90.00
Last column: nearest neighbours and their distance in Å.
Atoms (fractional coordinates):
Sb  0.0000  0.5000  0.0000  2 Cl 2.57
Sb  0.5000  0.0000  0.0000  2 Cl 2.57
Te  0.0000  0.0000  0.5000  2 Cl 2.69
Rh  0.5000  0.5000  0.5000  4 Te 3.63, 8 Sb 3.71
Cl  0.0000  0.0000  0.0000  4 Sb 2.57, 2 Te 2.69

Computed properties:
Total magnetization: 0.07 μB per formula unit
Volume: 28.3 A^3/atom

Energies relative to the minimum, meV per atom: a 0; b 913

a | VASP calculation (PBE) on a relaxed structure of Sc2RhCl.

abc: 5.3911 5.3911 4.5353
angles: 90.08 90.08 33.90
Last column: nearest neighbours and their distance in Å.
Atoms (fractional coordinates):
Sc  0.0000  0.0000  0.0000  1 Cl 2.63, 4 Rh 2.76
Sc  0.7421  0.7421  0.5007  3 Rh 2.65-2.96, 4 Cl 2.76
Rh  0.4854  0.4854  0.5001  7 Sc 2.65-2.96
Cl  0.2546  0.2546  0.0009  5 Sc 2.63-2.76

Computed properties:
Total magnetization: 0.00 μB per formula unit
Volume: 18.4 A^3/atom

b | VASP calculation (PBE) on a relaxed structure of Sc2RhCl.

abc: 4.7324 4.7324 4.7324
angles: 60.00 60.00 60.00
Last column: nearest neighbours and their distance in Å.
Atoms (fractional coordinates):
Sc  0.0000  0.0000  0.0000  4 Cl 2.90, 4 Sc 2.90
Sc  0.2500  0.2500  0.2500  4 Rh 2.90, 4 Sc 2.90
Rh  0.5000  0.5000  0.5000  4 Cl 2.90, 4 Sc 2.90
Cl  0.7500  0.7500  0.7500  4 Sc 2.90, 4 Rh 2.90

Computed properties:
Total magnetization: 0.05 μB per formula unit
Volume: 18.7 A^3/atom

Energies relative to the minimum, meV per atom: a 0; b 850

a | VASP calculation (PBE) on a relaxed structure of Sc2RhCl.

abc: 7.5992 7.5992 7.5992
angles: 155.85 153.41 36.22
Last column: nearest neighbours and their distance in Å.
Atoms (fractional coordinates):
Sc  0.0000  0.0000  0.0000  4 Rh 2.68, 2 Cl 2.85
Sc  0.7810  0.2810  0.5000  2 Rh 2.58
Rh  0.4126  0.4126  0.0000  6 Sc 2.58-2.68
Cl  0.1635  0.6635  0.5000  6 Sc 2.85-2.91, 2 Cl 3.18

Computed properties:
Total magnetization: 0.00 μB per formula unit
Volume: 20.1 A^3/atom

b | VASP calculation (PBE) on a relaxed structure of Sc2RhCl.

abc: 3.7548 3.7548 5.4535
angles: 90.00 90.00 90.00
Last column: nearest neighbours and their distance in Å.
Atoms (fractional coordinates):
Sc  0.0000  0.0000  0.0000  4 Cl 2.66, 2 Rh 2.72-2.73
Sc  0.5000  0.5000  0.4993  4 Rh 2.66, 2 Cl 2.72-2.73
Rh  0.0000  0.0000  0.4991  6 Sc 2.66-2.73
Cl  0.5000  0.5000  0.9989  6 Sc 2.66-2.73

Computed properties:
Total magnetization: 0.00 μB per formula unit
Volume: 19.2 A^3/atom

Energies relative to the minimum, meV per atom: a 0; b 67

a | VASP calculation (PBE) on a relaxed structure of Sc2RhCl.

abc: 3.6738 3.6738 7.3876
angles: 104.30 104.30 60.09
Last column: nearest neighbours and their distance in Å.
Atoms (fractional coordinates):
Sc  0.2354  0.2354  0.2092  3 Rh 2.59
Sc  0.7646  0.7646  0.7908  3 Rh 2.59
Rh  0.5000  0.5000  0.0000  6 Sc 2.59
Cl  0.0000  0.0000  0.5000  6 Sc 2.95-2.96

Computed properties:
Total magnetization: 0.00 μB per formula unit
Volume: 20.7 A^3/atom

b | VASP calculation (PBE) on a relaxed structure of Sc2RhCl.

abc: 4.7019 4.7019 4.7019
angles: 60.00 60.00 60.00
Last column: nearest neighbours and their distance in Å.
Atoms (fractional coordinates):
Sc  0.2500  0.2500  0.2500  4 Cl 2.88, 4 Rh 2.88
Sc  0.7500  0.7500  0.7500  4 Cl 2.88, 4 Rh 2.88
Rh  0.0000  0.0000  0.0000  8 Sc 2.88
Cl  0.5000  0.5000  0.5000  8 Sc 2.88

Computed properties:
Total magnetization: 0.00 μB per formula unit
Volume: 18.4 A^3/atom

c | VASP calculation (PBE) on a relaxed structure of Sc2RhCl.

abc: 3.1579 3.1579 8.7806
angles: 90.00 90.00 90.00
Last column: nearest neighbours and their distance in Å.
Atoms (fractional coordinates):
Sc  0.0000  0.0000  0.0000  4 Rh 2.65
Sc  0.5000  0.5000  0.3082  4 Cl 2.67
Rh  0.5000  0.5000  0.8380  4 Sc 2.65
Cl  0.0000  0.0000  0.4756  4 Sc 2.67

Computed properties:
Total magnetization: 0.41 μB per formula unit
Volume: 21.9 A^3/atom

Energies relative to the minimum, meV per atom: a 0; b 417; c 396

a | VASP calculation (PBE) on a relaxed structure of Sc2RhCl.

abc: 4.9329 4.9329 4.9329
angles: 134.72 111.02 86.42
Last column: nearest neighbours and their distance in Å.
Atoms (fractional coordinates):
Sc  0.2495  0.2495  0.0000  2 Cl 2.61, 2 Rh 2.62
Sc  0.7505  0.7505  0.0000  2 Cl 2.61, 2 Rh 2.62
Rh  0.5000  0.0000  0.5000  4 Sc 2.62
Cl  0.0000  0.5000  0.5000  4 Sc 2.61

Computed properties:
Total magnetization: 0.00 μB per formula unit
Volume: 19.1 A^3/atom

b | VASP calculation (PBE) on a relaxed structure of Sc2RhCl.

abc: 6.0778 6.0778 6.0778
angles: 112.30 112.30 103.95
Last column: nearest neighbours and their distance in Å.
Atoms (fractional coordinates):
Sc  0.1174  0.1250  0.4924  2 Rh 2.54, 2 Cl 2.60
Sc  0.3750  0.8826  0.0076  2 Rh 2.54, 2 Cl 2.60
Sc  0.6326  0.6250  0.5076  2 Rh 2.54, 2 Cl 2.60
Sc  0.8750  0.3674  0.9924  2 Rh 2.54, 2 Cl 2.60
Rh  0.0000  0.0000  0.0000  4 Sc 2.54
Rh  0.7500  0.2500  0.5000  4 Sc 2.54
Cl  0.2500  0.7500  0.5000  4 Sc 2.60
Cl  0.5000  0.5000  0.0000  4 Sc 2.60

Computed properties:
Total magnetization: 0.00 μB per formula unit
Volume: 21.5 A^3/atom

c | VASP calculation (PBE) on a relaxed structure of Sc2RhCl.

abc: 3.1349 3.3291 7.6006
angles: 90.00 90.00 90.00
Last column: nearest neighbours and their distance in Å.
Atoms (fractional coordinates):
Sc  0.0000  0.0000  0.2107  2 Cl 2.70, 4 Rh 2.79
Sc  0.0000  0.0000  0.7893  2 Cl 2.70, 4 Rh 2.79
Rh  0.5000  0.5000  0.0000  8 Sc 2.79
Cl  0.5000  0.0000  0.5000  4 Sc 2.70

Computed properties:
Total magnetization: 0.00 μB per formula unit
Volume: 19.8 A^3/atom

d | VASP calculation (PBE) on a relaxed structure of Sc2RhCl.

abc: 7.9288 7.9288 7.9288
angles: 28.56 28.56 28.56
Last column: nearest neighbours and their distance in Å.
Atoms (fractional coordinates):
Sc  0.1095  0.1095  0.1095  1 Cl 2.50, 3 Rh 2.61
Sc  0.8905  0.8905  0.8905  1 Cl 2.50, 3 Rh 2.61
Rh  0.5000  0.5000  0.5000  6 Sc 2.61
Cl  0.0000  0.0000  0.0000  2 Sc 2.50

Computed properties:
Total magnetization: 0.00 μB per formula unit
Volume: 25.2 A^3/atom

Energies relative to the minimum, meV per atom: a 388; b 422; c 0; d 68

a | VASP calculation (PBE) on a relaxed structure of Sc2RhCl.

abc: 4.9403 4.9403 3.0985
angles: 99.71 99.71 91.06
Last column: nearest neighbours and their distance in Å.
Atoms (fractional coordinates):
Sc  0.0000  0.5000  0.0000  2 Cl 2.69, 2 Rh 2.69
Sc  0.5000  0.0000  0.0000  2 Cl 2.69, 2 Rh 2.69
Rh  0.0000  0.0000  0.5000  4 Sc 2.69
Cl  0.5000  0.5000  0.5000  4 Sc 2.69

Computed properties:
Total magnetization: 0.00 μB per formula unit
Volume: 18.3 A^3/atom

b | VASP calculation (PBE) on a relaxed structure of Sc2RhCl.

abc: 6.1874 6.1874 6.1874
angles: 145.48 145.48 49.63
Last column: nearest neighbours and their distance in Å.
Atoms (fractional coordinates):
Sc  0.0000  0.0000  0.0000  4 Rh 2.60
Sc  0.7500  0.2500  0.5000  4 Cl 2.60
Rh  0.5000  0.5000  0.0000  4 Sc 2.60
Cl  0.2500  0.7500  0.5000  4 Sc 2.60

Computed properties:
Total magnetization: 0.00 μB per formula unit
Volume: 18.9 A^3/atom

c | VASP calculation (PBE) on a relaxed structure of Sc2RhCl.

abc: 4.8329 4.8329 3.0773
angles: 90.00 90.00 90.18
Last column: nearest neighbours and their distance in Å.
Atoms (fractional coordinates):
Sc  0.0000  0.5000  0.0000  4 Cl 2.86, 4 Rh 2.86, 2 Sc 3.08
Sc  0.5000  0.0000  0.0000  4 Cl 2.86, 4 Rh 2.86, 2 Sc 3.08
Rh  0.0000  0.0000  0.5000  8 Sc 2.86, 2 Rh 3.08
Cl  0.5000  0.5000  0.5000  8 Sc 2.86, 2 Cl 3.08

Computed properties:
Total magnetization: 0.00 μB per formula unit
Volume: 18.0 A^3/atom

Energies relative to the minimum, meV per atom: a 0; b 150; c 13

a | VASP calculation (PBE) on a relaxed structure of ScRhCl3.

abc: 4.7993 4.7993 4.7993
angles: 90.00 90.00 90.00
Last column: nearest neighbours and their distance in Å.
Atoms (fractional coordinates):
Sc  0.0000  0.0000  0.0000  12 Cl 3.39
Rh  0.5000  0.5000  0.5000  6 Cl 2.40
Cl  0.0000  0.5000  0.5000  2 Rh 2.40
Cl  0.5000  0.0000  0.5000  2 Rh 2.40
Cl  0.5000  0.5000  0.0000  2 Rh 2.40

Computed properties:
Total magnetization: 0.11 μB per formula unit
Volume: 22.1 A^3/atom

b | VASP calculation (PBE) on a relaxed structure of ScRhCl3.

abc: 4.9384 4.9384 4.9384
angles: 90.00 90.00 90.00
Last column: nearest neighbours and their distance in Å.
Atoms (fractional coordinates):
Sc  0.0000  0.0000  0.0000  6 Cl 2.47
Rh  0.5000  0.5000  0.5000  12 Cl 3.49
Cl  0.0000  0.0000  0.5000  2 Sc 2.47
Cl  0.0000  0.5000  0.0000  2 Sc 2.47
Cl  0.5000  0.0000  0.0000  2 Sc 2.47

Computed properties:
Total magnetization: 1.02 μB per formula unit
Volume: 24.1 A^3/atom

Energies relative to the minimum, meV per atom: a 284; b 0

a | VASP calculation (PBE) on a relaxed structure of RhSeCl3.

abc: 5.0771 5.0771 5.0771
angles: 90.00 90.00 90.00
Last column: nearest neighbours and their distance in Å.
Atoms (fractional coordinates):
Rh  0.0000  0.0000  0.0000  12 Cl 3.59
Se  0.5000  0.5000  0.5000  6 Cl 2.54
Cl  0.0000  0.5000  0.5000  2 Se 2.54
Cl  0.5000  0.0000  0.5000  2 Se 2.54
Cl  0.5000  0.5000  0.0000  2 Se 2.54

Computed properties:
Total magnetization: 1.78 μB per formula unit
Volume: 26.2 A^3/atom

b | VASP calculation (PBE) on a relaxed structure of RhSeCl3.

abc: 4.8326 4.8326 4.8326
angles: 90.00 90.00 90.00
Last column: nearest neighbours and their distance in Å.
Atoms (fractional coordinates):
Rh  0.0000  0.0000  0.0000  6 Cl 2.42
Se  0.5000  0.5000  0.5000  12 Cl 3.42
Cl  0.0000  0.0000  0.5000  2 Rh 2.42
Cl  0.0000  0.5000  0.0000  2 Rh 2.42
Cl  0.5000  0.0000  0.0000  2 Rh 2.42

Computed properties:
Total magnetization: 2.63 μB per formula unit
Volume: 22.6 A^3/atom

Energies relative to the minimum, meV per atom: a 454; b 0

a | VASP calculation (PBE) on a relaxed structure of SiRhCl2.

abc: 8.4935 8.4935 8.4935
angles: 23.13 23.13 23.13
Last column: nearest neighbours and their distance in Å.
Atoms (fractional coordinates):
Si  0.0000  0.0000  0.0000  2 Cl 2.55
Rh  0.5000  0.5000  0.5000  6 Cl 2.52
Cl  0.1028  0.1028  0.1028  3 Rh 2.52, 1 Si 2.55
Cl  0.8972  0.8972  0.8972  3 Rh 2.52, 1 Si 2.55

Computed properties:
Total magnetization: 1.66 μB per formula unit
Volume: 20.7 A^3/atom

b | VASP calculation (PBE) on a relaxed structure of SiRhCl2.

abc: 4.3763 4.3763 3.8680
angles: 90.00 90.00 98.23
Last column: nearest neighbours and their distance in Å.
Atoms (fractional coordinates):
Si  0.0000  0.0000  0.0000  4 Cl 2.64, 2 Rh 2.86
Rh  0.5000  0.5000  0.0000  4 Cl 2.45
Cl  0.2722  0.7278  0.5000  2 Rh 2.45, 2 Si 2.64
Cl  0.7278  0.2722  0.5000  2 Rh 2.45, 2 Si 2.64

Computed properties:
Total magnetization: 0.44 μB per formula unit
Volume: 18.3 A^3/atom

Energies relative to the minimum, meV per atom: a 103; b 0

a | VASP calculation (PBE) on a relaxed structure of SiRhCl2.

abc: 8.8912 8.8912 8.8912
angles: 19.96 19.96 19.96
Last column: nearest neighbours and their distance in Å.
Atoms (fractional coordinates):
Si  0.0000  0.0000  0.0000  6 Cl 2.73
Rh  0.5000  0.5000  0.5000  2 Cl 2.29
Cl  0.4125  0.4125  0.4125  1 Rh 2.29
Cl  0.5875  0.5875  0.5875  1 Rh 2.29

Computed properties:
Total magnetization: 0.00 μB per formula unit
Volume: 17.9 A^3/atom

b | VASP calculation (PBE) on a relaxed structure of SiRhCl2.

abc: 4.4346 3.6686 6.6733
angles: 90.00 99.41 90.00
Last column: nearest neighbours and their distance in Å.
Atoms (fractional coordinates):
Si  0.0000  0.0000  0.0000  1 Cl 2.08, 2 Rh 2.24
Rh  0.9948  0.5000  0.8080  2 Si 2.24, 2 Cl 2.33-2.36
Cl  0.4696  0.5000  0.6915  2 Rh 2.33-2.36
Cl  0.8369  0.0000  0.2749  1 Si 2.08

Computed properties:
Total magnetization: 0.00 μB per formula unit
Volume: 26.8 A^3/atom

c | VASP calculation (PBE) on a relaxed structure of SiRhCl2.

abc: 3.4104 3.4104 7.7234
angles: 90.00 90.00 90.00
Last column: nearest neighbours and their distance in Å.
Atoms (fractional coordinates):
Si  0.0000  0.0000  0.0000  1 Cl 2.08
Rh  0.5000  0.5000  0.0594  1 Cl 2.25, 4 Si 2.45
Cl  0.0000  0.0000  0.7303  1 Si 2.08
Cl  0.5000  0.5000  0.3506  1 Rh 2.25

Computed properties:
Total magnetization: 0.00 μB per formula unit
Volume: 22.5 A^3/atom

Energies relative to the minimum, meV per atom: a 688; b 0; c 14

a | VASP calculation (PBE) on a relaxed structure of SiRhCl2.

abc: 3.2808 3.2808 8.5696
angles: 90.00 90.00 117.87
Last column: nearest neighbours and their distance in Å.
Atoms (fractional coordinates):
Si  0.0000  0.0000  0.0000  2 Rh 2.25, 2 Cl 2.50
Rh  0.5000  0.5000  0.1735  2 Si 2.25, 2 Cl 2.52
Cl  0.0000  0.0000  0.3917  2 Rh 2.52
Cl  0.5000  0.5000  0.7859  2 Si 2.50

Computed properties:
Total magnetization: 0.00 μB per formula unit
Volume: 20.4 A^3/atom

b | VASP calculation (PBE) on a relaxed structure of SiRhCl2.

abc: 3.0337 4.2011 5.4240
angles: 90.00 90.00 90.00
Last column: nearest neighbours and their distance in Å.
Atoms (fractional coordinates):
Si  0.0000  0.0000  0.0000  4 Cl 2.59
Rh  0.5000  0.0000  0.5000  4 Cl 2.59
Cl  0.0000  0.5000  0.5000  4 Rh 2.59
Cl  0.5000  0.5000  0.0000  4 Si 2.59

Computed properties:
Total magnetization: 0.00 μB per formula unit
Volume: 17.3 A^3/atom

c | VASP calculation (PBE) on a relaxed structure of SiRhCl2.

abc: 7.6027 7.6027 3.6387
angles: 93.38 93.38 24.57
Last column: nearest neighbours and their distance in Å.
Atoms (fractional coordinates):
Si  0.0000  0.0000  0.0000  2 Cl 2.26, 4 Rh 2.43
Rh  0.5000  0.5000  0.5000  4 Si 2.43
Cl  0.1455  0.1455  0.2230  1 Si 2.26
Cl  0.8545  0.8545  0.7770  1 Si 2.26

Computed properties:
Total magnetization: 0.00 μB per formula unit
Volume: 21.8 A^3/atom

d | VASP calculation (PBE) on a relaxed structure of SiRhCl2.

abc: 3.2920 3.2920 8.4981
angles: 92.98 92.98 67.23
Last column: nearest neighbours and their distance in Å.
Atoms (fractional coordinates):
Si  0.0000  0.0000  0.0000  1 Cl 2.03
Rh  0.6458  0.6458  0.1508  3 Si 2.34-2.39, 1 Cl 2.58
Cl  0.9998  0.9998  0.7608  1 Si 2.03
Cl  0.3170  0.3170  0.3544  3 Rh 2.58-2.64

Computed properties:
Total magnetization: 0.00 μB per formula unit
Volume: 21.2 A^3/atom

Energies relative to the minimum, meV per atom: a 456; b 875; c 388; d 0